w | Compound: BaSc2Ag
Source: the Alexandria database
Functional: PBE
Structure: relaxed

Structure (extended XYZ):
```
4
Lattice="3.5680 0.0000 0.0000 0.0000 3.5680 0.0000 0.0000 0.0000 9.0806" Properties=species:S:1:pos:R:3 pbc="T T T"
Ba 0.0000 0.0000 0.0000
Sc 1.7840 1.7840 2.9734
Sc 1.7840 1.7840 6.1072
Ag 0.0000 0.0000 4.5403
```

Calculated values
Its total magnetic moment is 0.01 μB/f.u.

x | Compound: BaSc2Ag
Source: the Alexandria database
Functional: PBE
Structure: relaxed

Structure (extended XYZ):
```
4
Lattice="5.2157 0.0000 0.0000 0.0000 5.2157 0.0000 0.0000 0.0000 3.8840" Properties=species:S:1:pos:R:3 pbc="T T T"
Ba 0.0000 0.0000 0.0000
Sc 0.0000 2.6078 1.9420
Sc 2.6078 0.0000 1.9420
Ag 2.6078 2.6078 0.0000
```

Calculated values
Its total magnetic moment is 0.00 μB/f.u.

y | Compound: BaSc2Ag
Source: the Alexandria database
Functional: PBE
Structure: relaxed

Structure (extended XYZ):
```
8
Lattice="4.9218 0.0000 0.0000 0.0000 4.9218 0.0000 0.0000 0.0000 9.2685" Properties=species:S:1:pos:R:3 pbc="T T T"
Ba 0.0000 0.0000 0.0000
Ba 2.4609 2.4609 4.6343
Sc 0.0000 0.0000 4.6343
Sc 0.0000 2.4609 6.9514
Sc 2.4609 0.0000 2.3171
Sc 2.4609 2.4609 0.0000
Ag 0.0000 2.4609 2.3171
Ag 2.4609 0.0000 6.9514
```

Calculated values
Its total magnetic moment is 1.57 μB/f.u.

Looking at the structures above, which would you pick as the most stable? I would pick w.